Entry from the Alexandria database: a geometry-optimized TcWSe structure (PBE-GGA).

Computed properties:
Calculated total energy ... -8.606 eV/atom
Energy above the lowest structure with this stoichiometry ... 0.142 eV per atom
Total moment ... 0.000 μB per atom
Formation energy without anion corrections ... 0.3286 eV/atom
Space group ... P-6m2 (187)

The structure in POSCAR format:
```
TcWSe
1.0
4.306 0.000 0.000
-2.153 3.729 0.000
0.000 0.000 2.948
Tc W Se
1 1 1
Cartesian
0.000 0.000 0.000
2.153 1.243 1.474
0.000 2.486 1.474
```

***

Entry from the Alexandria database: a geometry-optimized TcWSe structure (PBE-GGA).

Computed properties:
Calculated total energy ... -8.524 eV/atom
Energy above the lowest structure with this stoichiometry ... 0.225 eV per atom
Total moment ... 0.000 μB per atom
Formation energy without anion corrections ... 0.4110 eV/atom
Space group ... Imm2 (44)

The structure in POSCAR format:
```
TcWSe
1.0
-1.511 2.059 3.816
1.511 -2.059 3.816
1.511 2.059 -3.816
Tc W Se
1 1 1
Cartesian
0.000 0.000 0.000
0.000 0.000 5.038
0.000 0.000 2.514
```

***

Entry from the Alexandria database: a geometry-optimized Tc2WSe structure (PBE-GGA).

Computed properties:
Calculated total energy ... -8.877 eV/atom
Total moment ... 0.000 μB per atom
Formation energy without anion corrections ... 0.4157 eV/atom
Space group ... Cmmm (65)

The structure in POSCAR format:
```
Tc2WSe
1.0
1.559 -2.361 0.000
1.559 2.361 0.000
0.000 0.000 8.691
Tc W Se
2 1 1
Cartesian
0.000 0.000 2.089
0.000 0.000 6.602
1.559 0.000 0.000
1.559 0.000 4.345
```